First-principles (GGA-PBE) data for a relaxed structure of HfTa2I, as listed in Alexandria.

Cell and atoms, written as CIF:
```
data_HfTa2I
_chemical_formula_sum 'Hf1 Ta2 I1'
_cell_length_a 4.857
_cell_length_b 4.857
_cell_length_c 4.857
_cell_angle_alpha 60.00
_cell_angle_beta 60.00
_cell_angle_gamma 60.00
_symmetry_space_group_name_H-M 'P 1'
_symmetry_Int_Tables_number 1
loop_
_symmetry_equiv_pos_as_xyz
'x,y,z'
loop_
_atom_site_label
_atom_site_fract_x
_atom_site_fract_y
_atom_site_fract_z
Hf1 0.000 0.000 0.000
Ta1 0.250 0.250 0.250
Ta2 0.750 0.750 0.750
I1 0.500 0.500 0.500
```

## Properties
Offset from the most stable computed form ... 11.1 meV per atom
ΔE_f (raw) ... 0.84 eV/atom
Energy ... -31.86 eV per cell
V ... 81 Å³/cell

First-principles (GGA-PBE) data for a relaxed structure of SrTi2Cd2O7, as listed in Alexandria.

Cell and atoms, written as CIF:
```
data_SrTi2Cd2O7
_chemical_formula_sum 'Sr1 Ti2 Cd2 O7'
_cell_length_a 9.255
_cell_length_b 9.255
_cell_length_c 9.255
_cell_angle_alpha 156.88
_cell_angle_beta 40.53
_cell_angle_gamma 147.18
_symmetry_space_group_name_H-M 'P 1'
_symmetry_Int_Tables_number 1
loop_
_symmetry_equiv_pos_as_xyz
'x,y,z'
loop_
_atom_site_label
_atom_site_fract_x
_atom_site_fract_y
_atom_site_fract_z
Sr1 0.000 0.000 0.000
Ti1 0.349 0.954 0.396
Ti2 0.558 0.954 0.604
Cd1 0.171 0.456 0.715
Cd2 0.741 0.456 0.285
O1 0.174 0.894 0.280
O2 0.232 0.342 0.890
O3 0.328 0.828 0.500
O4 0.452 0.342 0.110
O5 0.614 0.894 0.720
O6 0.704 0.298 0.406
O7 0.892 0.298 0.594
```

## Properties
ΔE_f (raw) ... -2.39 eV/atom
Energy ... -82.65 eV per cell
V ... 168 Å³/cell

First-principles (GGA-PBE) data for a relaxed structure of NaLi5N2, as listed in Alexandria.

Cell and atoms, written as CIF:
```
data_NaLi5N2
_chemical_formula_sum 'Na1 Li5 N2'
_cell_length_a 3.852
_cell_length_b 3.748
_cell_length_c 6.601
_cell_angle_alpha 90.00
_cell_angle_beta 92.37
_cell_angle_gamma 90.00
_symmetry_space_group_name_H-M 'P 1'
_symmetry_Int_Tables_number 1
loop_
_symmetry_equiv_pos_as_xyz
'x,y,z'
loop_
_atom_site_label
_atom_site_fract_x
_atom_site_fract_y
_atom_site_fract_z
Na1 0.000 0.000 0.000
Li1 0.197 0.000 0.367
Li2 0.264 0.500 0.757
Li3 0.629 0.500 0.126
Li4 0.716 0.000 0.660
Li5 0.727 0.500 0.466
N1 0.687 0.000 0.323
N2 0.766 0.500 0.790
```

## Properties
Offset from the most stable computed form ... 7.1 meV per atom
ΔE_f (raw) ... -0.23 eV/atom
Energy ... -29.35 eV per cell
V ... 95 Å³/cell

First-principles (GGA-PBE) data for a relaxed structure of CaNd3As4, as listed in Alexandria.

Cell and atoms, written as CIF:
```
data_CaNd3As4
_chemical_formula_sum 'Ca1 Nd3 As4'
_cell_length_a 6.033
_cell_length_b 6.033
_cell_length_c 6.033
_cell_angle_alpha 90.00
_cell_angle_beta 90.00
_cell_angle_gamma 90.00
_symmetry_space_group_name_H-M 'P 1'
_symmetry_Int_Tables_number 1
loop_
_symmetry_equiv_pos_as_xyz
'x,y,z'
loop_
_atom_site_label
_atom_site_fract_x
_atom_site_fract_y
_atom_site_fract_z
Ca1 0.000 0.000 0.000
Nd1 0.000 0.500 0.500
Nd2 0.500 0.000 0.500
Nd3 0.500 0.500 0.000
As1 0.000 0.000 0.500
As2 0.000 0.500 0.000
As3 0.500 0.000 0.000
As4 0.500 0.500 0.500
```

## Properties
Energy ... -45.66 eV per cell
V ... 220 Å³/cell
DFT formation energy ... -10.754 eV per formula unit